(1)
Material: ErCo3GeB
Method: DFT, PBE
State: optimized geometry

Cell lengths 5.494, 5.306, 6.144 Å; angles 115.58, 90.00, 90.00 degrees
Positions (direct):
Co: 0.250 0.162 0.324
Co: 0.000 0.748 0.000
Co: 0.000 0.252 0.000
Co: 0.500 0.748 0.000
Co: 0.750 0.838 0.676
Co: 0.500 0.252 0.000
Er: 0.750 0.265 0.529
Er: 0.250 0.735 0.471
B: 0.250 0.983 0.967
B: 0.750 0.017 0.033
Ge: 0.750 0.633 0.266
Ge: 0.250 0.367 0.734

Computed properties:
- D(E_F): 11.57 states/eV per cell
- Raw total energy: -78.35 eV for the cell shown
- Energy of formation: -192.9 kJ/mol of formula units

=====

(2)
Material: NaLa2Pb2
Method: DFT, PBE
State: optimized geometry

Cell lengths 9.448, 9.448, 3.854 Å; angles 90.00, 90.00, 90.00 degrees
Positions (direct):
Pb: 0.666 0.166 0.000
Pb: 0.834 0.666 0.000
Pb: 0.166 0.334 0.000
Pb: 0.334 0.834 0.000
La: 0.635 0.865 0.500
La: 0.365 0.135 0.500
La: 0.865 0.365 0.500
La: 0.135 0.635 0.500
Na: 0.500 0.500 0.000
Na: 0.000 0.000 0.000

Computed properties:
- D(E_F): 8.20 states/eV per cell
- Raw total energy: -41.46 eV for the cell shown
- Energy of formation: -206.3 kJ/mol of formula units
- E above lowest polymorph: 0.00 eV/f.u.

=====

(3)
Material: ThPa3S6
Method: DFT, PBE
State: optimized geometry

Cell lengths 3.886, 11.004, 11.372 Å; angles 107.17, 90.00, 90.00 degrees
Site moments in Bohr magnetons follow the coordinates.
Positions (direct):
S: 0.750 0.120 0.463  -0.01
S: 0.250 0.256 0.721  -0.03
S: 0.250 0.880 0.537  -0.01
S: 0.750 0.910 0.107  -0.01
S: 0.250 0.606 0.931  -0.04
S: 0.750 0.744 0.279  -0.03
S: 0.750 0.805 0.751  -0.02
S: 0.250 0.195 0.249  -0.02
S: 0.250 0.508 0.376  -0.04
S: 0.250 0.090 0.893  -0.01
S: 0.750 0.394 0.069  -0.04
S: 0.750 0.492 0.624  -0.04
Th: 0.250 0.954 0.302  0.05
Th: 0.750 0.046 0.698  0.05
Pa: 0.750 0.427 0.837  1.19
Pa: 0.750 0.144 0.071  0.66
Pa: 0.250 0.573 0.163  1.19
Pa: 0.250 0.321 0.501  1.14
Pa: 0.750 0.679 0.499  1.14
Pa: 0.250 0.856 0.929  0.66

Computed properties:
- Formation energy without anion corrections: -16.4 eV/f.u.
- D(E_F): 26.26 states/eV per cell
- Raw total energy: -154.24 eV for the cell shown

=====

(4)
Material: Yb3Tc
Method: DFT, PBE
State: optimized geometry

Cell lengths 5.382, 5.382, 5.382 Å; angles 126.33, 126.33, 79.35 degrees
Site moments in Bohr magnetons follow the coordinates.
Positions (direct):
Yb: 0.500 0.500 0.000  0.12
Yb: 0.750 0.250 0.500  0.13
Yb: 0.250 0.750 0.500  0.13
Tc: 0.000 0.000 0.000  0.73

Computed properties:
- D(E_F): 22.01 states/eV per cell
- Raw total energy: -13.87 eV for the cell shown
- Energy of formation: 103.3 kJ/mol of formula units

=====

(5)
Material: KCuHg2
Method: DFT, PBE
State: optimized geometry

Cell lengths 5.771, 5.771, 5.771 Å; angles 136.47, 117.74, 79.03 degrees
Positions (direct):
Hg: 0.058 0.058 0.000
Hg: 0.442 0.442 0.000
K: 0.750 0.250 0.500
Cu: 0.250 0.750 0.500

Computed properties:
- D(E_F): 1.96 states/eV per cell
- Raw total energy: -5.50 eV for the cell shown
- Energy of formation: 28.5 kJ/mol of formula units
- E above lowest polymorph: 0.61 eV/f.u.

=====

(6)
Material: SrPa4W3N12
Method: DFT, PBE
State: optimized geometry

Cell lengths 7.188, 7.188, 7.188 Å; angles 109.47, 109.47, 109.47 degrees
Site moments in Bohr magnetons follow the coordinates.
Positions (direct):
N: 0.516 0.678 0.838  0.00
N: 0.162 0.484 0.322  0.00
N: 0.838 0.516 0.678  0.00
N: 0.322 0.838 0.160  0.00
N: 0.678 0.162 0.840  0.00
N: 0.162 0.840 0.678  0.00
N: 0.484 0.322 0.162  0.00
N: 0.838 0.160 0.322  0.00
N: 0.322 0.162 0.484  0.00
N: 0.160 0.322 0.838  0.00
N: 0.840 0.678 0.162  0.00
N: 0.678 0.838 0.516  0.00
Pa: 0.000 0.000 0.500  0.00
Pa: 0.500 0.000 0.000  0.00
Pa: 0.500 0.500 0.500  0.00
Pa: 0.000 0.500 0.000  0.00
W: 0.500 0.000 0.500  0.08
W: 0.500 0.500 0.000  0.08
W: 0.000 0.500 0.500  0.08
Sr: 0.000 0.000 0.000  0.00

Computed properties:
- Formation energy without anion corrections: -15.9 eV/f.u.
- D(E_F): 8.79 states/eV per cell
- Raw total energy: -194.38 eV for the cell shown

=====

(7)
Material: AlSi2Os
Method: DFT, PBE
State: optimized geometry

Cell lengths 4.780, 4.780, 4.780 Å; angles 140.89, 124.85, 69.67 degrees
Positions (direct):
Si: 0.990 0.990 0.000
Si: 0.757 0.257 0.500
Al: 0.510 0.510 0.000
Os: 0.243 0.743 0.500

Computed properties:
- Formation energy without anion corrections: 0.4 eV/f.u.
- D(E_F): 1.73 states/eV per cell
- Raw total energy: -25.45 eV for the cell shown

=====

(8)
Material: Ge2O2F
Method: DFT, PBE
State: optimized geometry

Cell lengths 7.094, 7.094, 2.931 Å; angles 90.00, 90.00, 90.00 degrees
Site moments in Bohr magnetons follow the coordinates.
Positions (direct):
O: 0.120 0.380 0.000  0.10
O: 0.380 0.880 0.000  0.10
O: 0.620 0.120 0.000  0.10
O: 0.880 0.620 0.000  0.10
Ge: 0.766 0.734 0.500  0.04
Ge: 0.234 0.266 0.500  0.04
Ge: 0.734 0.234 0.500  0.04
Ge: 0.266 0.766 0.500  0.04
F: 0.000 0.000 0.000  0.02
F: 0.500 0.500 0.000  0.02

Computed properties:
- Formation energy without anion corrections: -4.6 eV/f.u.
- D(E_F): 5.96 states/eV per cell
- Raw total energy: -51.22 eV for the cell shown

=====

(9)
Material: CaZn
Method: DFT, PBE
State: optimized geometry

Cell lengths 6.126, 6.126, 6.126 Å; angles 137.34, 137.34, 61.91 degrees
Positions (direct):
Zn: 0.500 0.500 0.000
Zn: 0.750 0.250 0.500
Ca: 0.250 0.750 0.500
Ca: 0.000 0.000 0.000

Computed properties:
- D(E_F): 2.74 states/eV per cell
- Raw total energy: -6.83 eV for the cell shown
- Energy of formation: -13.5 kJ/mol of formula units

=====

(10)
Material: LaSbPb2
Method: DFT, PBE
State: optimized geometry

Cell lengths 4.360, 4.485, 7.658 Å; angles 61.75, 90.00, 90.00 degrees
Positions (direct):
Pb: 0.500 0.351 0.212
Pb: 0.000 0.999 0.023
Sb: 0.000 0.379 0.565
La: 0.500 0.771 0.700

Computed properties:
- Formation energy without anion corrections: -1.8 eV/f.u.
- D(E_F): 2.36 states/eV per cell
- Raw total energy: -18.30 eV for the cell shown

=====

(11)
Material: CsErCrBr6
Method: DFT, PBE
State: optimized geometry

Cell lengths 7.112, 7.111, 8.222 Å; angles 90.01, 89.99, 59.98 degrees
Site moments in Bohr magnetons follow the coordinates.
Positions (direct):
Br: 0.989 0.380 0.308  -0.01
Br: 0.631 0.989 0.308  0.00
Br: 0.631 0.380 0.692  0.00
Br: 0.380 0.989 0.692  -0.01
Br: 0.380 0.631 0.308  0.00
Br: 0.989 0.631 0.692  0.00
Cr: 0.667 0.667 0.500  3.64
Cs: 0.000 0.000 0.000  0.00
Er: 0.333 0.333 0.500  0.02

Computed properties:
- Formation energy without anion corrections: -13.0 eV/f.u.
- D(E_F): 6.52 states/eV per cell
- Raw total energy: -38.06 eV for the cell shown

=====

(12)
Material: PuMoN3
Method: DFT, PBE
State: optimized geometry

Cell lengths 6.086, 7.120, 7.120 Å; angles 82.96, 77.03, 77.03 degrees
Site moments in Bohr magnetons follow the coordinates.
Positions (direct):
N: 0.367 0.373 0.886  -0.08
N: 0.644 0.001 0.782  -0.11
N: 0.990 0.603 0.673  -0.05
N: 0.633 0.627 0.114  -0.08
N: 0.144 0.782 0.001  -0.11
N: 0.867 0.886 0.373  -0.08
N: 0.356 0.999 0.218  -0.11
N: 0.490 0.673 0.603  -0.05
N: 0.856 0.218 0.999  -0.11
N: 0.133 0.114 0.627  -0.08
N: 0.510 0.327 0.397  -0.05
N: 0.010 0.397 0.327  -0.05
Mo: 0.238 0.614 0.799  0.36
Mo: 0.762 0.386 0.201  0.36
Mo: 0.738 0.799 0.614  0.36
Mo: 0.262 0.201 0.386  0.36
Pu: 0.750 0.911 0.089  4.59
Pu: 0.250 0.089 0.911  4.59
Pu: 0.250 0.687 0.313  4.90
Pu: 0.750 0.313 0.687  4.90

Computed properties:
- Formation energy without anion corrections: -3.7 eV/f.u.
- D(E_F): 22.87 states/eV per cell
- Raw total energy: -215.33 eV for the cell shown